Below is a relaxed Cu9PdPt2 crystal, with properties calculated at the GGA-PBE level.

Formation energy from the elements   -0.13 eV per atom
Size of the total moment   0.00 Bohr magnetons per cell
DFT total energy   -4.65 eV per atom

abc: 3.724 3.724 11.177
angles: 90.00 90.00 90.00
Space group P4/mmm (No. 123)
Symmetry-distinct sites (fractional):
Cu: 0.000 0.000 0.000 (multiplicity 1)
Cu: 0.000 0.000 0.333 (multiplicity 2)
Cu: 0.000 0.500 0.166 (multiplicity 4)
Cu: 0.000 0.500 0.500 (multiplicity 2)
Pd: 0.500 0.500 0.000 (multiplicity 1)
Pt: 0.500 0.500 0.333 (multiplicity 2)